DyY2Tl, optimized geometry, DFT PBE-GGA; D(E_F) = 1.11 states/eV/atom; energy relative to the elements = -0.2023 eV/atom; mass density = 7.59 g/cm³; final energy = -5.176 eV per atom; energy above the lowest structure with this stoichiometry = 0.00 kJ/mol of atoms
1.0
6.7292 0.0000 0.0000
0.0000 5.3449 0.0000
-1.3223 0.0000 6.6268
Dy Y Tl
2 4 2
Direct
0.1631 0.2500 0.4254 Dy
0.8369 0.7500 0.5746 Dy
0.0862 0.2500 0.9050 Y
0.3685 0.7500 0.7704 Y
0.6315 0.2500 0.2296 Y
0.9138 0.7500 0.0950 Y
0.3844 0.7500 0.2551 Tl
0.6156 0.2500 0.7449 Tl